AgIr2Au | Alexandria via LeMat-Bulk | PBE-GGA | relaxed; formation energy = 0.543 eV per atom; offset from the most stable computed form = 0.362 eV/atom; total magnetization = 0.00 μB per cell; V = 64.4 Å³/f.u.; DFT total energy = -5.419 eV/atom
1.0
-1.4577 -0.2616 4.8347
4.5733 -1.9649 -0.8898
1.1506 2.4605 0.4800
Ag Ir Au
1 2 1
direct
0.5000 0.0000 0.5000
0.0000 0.0000 0.0000
0.5000 0.5000 0.0000
0.0000 0.5000 0.5000

***

PrDy3Ga4 | Alexandria via LeMat-Bulk | PBE-GGA | relaxed; formation energy = -0.569 eV per atom; total magnetization = 0.00 μB per cell; V = 188.1 Å³/f.u.; DFT total energy = -4.406 eV/atom
1.0
-4.6261 -1.2518 -1.7590
2.8421 -1.3909 -6.4849
1.5720 -9.7010 2.7696
Dy Ga Pr
6 8 2
direct
0.4996 0.0000 0.7500
0.5003 0.5000 0.2500
0.4997 0.5000 0.7500
0.0000 0.0000 0.5000
0.5004 0.0000 0.2500
0.0000 0.0000 0.0000
0.5000 0.2408 0.0000
0.5000 0.7592 0.0000
0.0004 0.7592 0.2500
0.5000 0.2408 0.5000
0.9996 0.2408 0.7500
0.9996 0.7592 0.7500
0.5000 0.7592 0.5000
0.0004 0.2408 0.2500
0.0000 0.5000 0.0000
0.0000 0.5000 0.5000

***

SrEr4Hg5 | Alexandria via LeMat-Bulk | PBE-GGA | relaxed; formation energy = -0.490 eV per atom; total magnetization = 0.00 μB per cell; V = 263.2 Å³/f.u.; DFT total energy = -2.634 eV/atom
1.0
-2.9899 -2.2133 -0.3489
0.6802 -0.3423 -3.6579
10.7718 -15.0902 3.4155
Er Hg Sr
4 5 1
direct
0.0000 0.0000 0.2096
0.0000 0.0000 0.4034
0.0000 0.0000 0.5966
0.0000 0.0000 0.7904
0.5000 0.5000 0.5000
0.5000 0.5000 0.3066
0.5000 0.5000 0.8810
0.5000 0.5000 0.1190
0.5000 0.5000 0.6934
0.0000 0.0000 0.0000

***

Y6Er2TmSc3 | Alexandria via LeMat-Bulk | PBE-GGA | relaxed; formation energy = 0.054 eV per atom; total magnetization = 0.00 μB per cell; V = 357.3 Å³/f.u.; DFT total energy = -5.894 eV/atom
1.0
-3.7742 0.5745 4.6823
4.7320 -3.7367 0.3794
6.0118 9.4826 2.3836
Sc Y Tm Er
3 6 1 2
direct
0.8332 0.1668 0.5000
0.1668 0.8332 0.5000
0.5000 0.5000 0.5000
0.5808 0.9141 0.7421
0.4192 0.0859 0.2579
0.7527 0.7527 0.2581
0.2473 0.2473 0.7419
0.9141 0.5808 0.7421
0.0859 0.4192 0.2579
0.0000 0.0000 0.0000
0.6666 0.3334 0.0000
0.3334 0.6666 0.0000

***

Pr2Sm6Er3 | Alexandria via LeMat-Bulk | PBE-GGA | relaxed; formation energy = 0.278 eV per atom; offset from the most stable computed form = 0.109 eV/atom; total magnetization = 0.00 μB per cell; V = 388.0 Å³/f.u.; DFT total energy = -4.409 eV/atom
1.0
4.7848 0.0000 0.0000
0.0000 4.7848 0.0000
-2.3924 -2.3924 16.9454
Sm Er Pr
6 3 2
direct
0.8773 0.3773 0.7546
0.3773 0.8773 0.7546
0.6227 0.1227 0.2454
0.3010 0.3010 0.6021
0.1227 0.6227 0.2454
0.6990 0.6990 0.3979
0.8002 0.8002 0.6005
0.0000 0.0000 0.0000
0.1998 0.1998 0.3995
0.5459 0.5459 0.0918
0.4541 0.4541 0.9082

***

TaBiRh3 | Alexandria via LeMat-Bulk | PBE-GGA | relaxed; formation energy = 0.602 eV per atom; offset from the most stable computed form = 0.000 eV/atom; total magnetization = 0.00 μB per cell; V = 108.9 Å³/f.u.; DFT total energy = -6.955 eV/atom
1.0
4.7758 0.0000 0.0000
0.0000 4.7758 0.0000
0.0000 0.0000 4.7758
Rh Ta Bi
3 1 1
direct
0.0000 0.5000 0.0000
0.0000 0.0000 0.5000
0.5000 0.0000 0.0000
0.0000 0.0000 0.0000
0.5000 0.5000 0.5000

***

SrHfAlIr2 | Alexandria via LeMat-Bulk | PBE-GGA | relaxed; formation energy = -0.739 eV per atom; total magnetization = 0.00 μB per cell; V = 105.4 Å³/f.u.; DFT total energy = -7.359 eV/atom
1.0
-0.0938 -0.1045 -4.2887
2.2880 -3.6300 0.0384
-5.9393 -1.1830 2.3054
Ir Sr Hf Al
2 1 1 1
direct
0.3838 0.3838 0.7676
0.6162 0.6162 0.2324
0.0000 0.0000 0.0000
0.7500 0.2500 0.5000
0.2500 0.7500 0.5000

***

IrRu2Rh | Alexandria via LeMat-Bulk | PBE-GGA | relaxed; formation energy = 0.618 eV per atom; offset from the most stable computed form = 0.611 eV/atom; total magnetization = 0.00 μB per cell; V = 67.9 Å³/f.u.; DFT total energy = -8.073 eV/atom
1.0
3.8570 0.0000 0.0000
0.0000 4.6269 0.0000
0.0000 0.0000 15.2103
Rh Ru Ir
4 8 4
direct
0.7500 0.1603 0.8985
0.7500 0.6603 0.6015
0.2500 0.8397 0.1015
0.2500 0.3397 0.3985
0.2500 0.9954 0.8016
0.7500 0.1714 0.5262
0.7500 0.0046 0.1984
0.2500 0.3286 0.0262
0.7500 0.5046 0.3016
0.7500 0.6714 0.9738
0.2500 0.8286 0.4738
0.2500 0.4954 0.6984
0.2500 0.0193 0.6343
0.2500 0.5193 0.8657
0.7500 0.9807 0.3657
0.7500 0.4807 0.1343